Compound: Dy2TmHg3
Source: Alexandria via LeMat-Bulk
Functional: PBE-GGA
Structure: relaxed

Cell and atoms, written as CIF:
```
data_Dy2TmHg3
_chemical_formula_sum 'Dy4 Tm2 Hg6'
_space_group_name_H-M_alt 'P 1'
_space_group_IT_number 1
_space_group_name_Hall 'P 1'
_cell_length_a 5.233
_cell_length_b 5.233
_cell_length_c 12.883
_cell_angle_alpha 90.00
_cell_angle_beta 90.00
_cell_angle_gamma 120.00
loop_
_atom_site_label
_atom_site_fract_x
_atom_site_fract_y
_atom_site_fract_z
Dy1 0.000 0.000 0.000
Dy2 0.000 0.000 0.500
Dy3 0.333 0.667 0.168
Dy4 0.667 0.333 0.832
Tm1 0.333 0.667 0.667
Tm2 0.667 0.333 0.333
Hg1 0.000 0.000 0.251
Hg2 0.000 0.000 0.749
Hg3 0.333 0.667 0.417
Hg4 0.333 0.667 0.916
Hg5 0.667 0.333 0.084
Hg6 0.667 0.333 0.583
```

Computed properties:
distance to the lowest polymorph of the same formula = 2.4 meV/atom
symmetry = P-3m1 (164)
calculated formation energy = -276 kJ/mol of formula units